This record from Alexandria via LeMat-Bulk describes a geometry-optimized La2CoRu structure. The functional is PBE-GGA.

Values from the calculation:
E_tot = -6.350 eV per atom
density = 8.9 Mg/m³
N(E_F) = 1.3771 states/eV/atom

The structure in CIF format:
```
data_La2CoRu
_space_group_name_H-M_alt 'F -4 3 m'
_space_group_IT_number 216
_space_group_name_Hall 'F -4 2 3'
_cell_length_a 6.8911
_cell_length_b 6.8911
_cell_length_c 6.8911
_cell_angle_alpha 90.00
_cell_angle_beta 90.00
_cell_angle_gamma 90.00
loop_
_atom_site_label
_atom_site_type_symbol
_atom_site_fract_x
_atom_site_fract_y
_atom_site_fract_z
_atom_site_occupancy
La1 La 0.0000 0.0000 0.0000 1
La2 La 0.2500 0.2500 0.2500 1
Co1 Co 0.0000 0.0000 0.5000 1
Ru1 Ru 0.2500 0.2500 0.7500 1
```